Density functional theory data (PBE) for crystalline TaTiNbPd at its relaxed geometry.

Cell: 7.7022 7.7022 7.7022 Å, 156.00 156.00 34.21°
Closest atoms and distances in Å follow each position.
Fractional positions:
Ta1 0.0000 0.0000 0.0000  1 Pd 2.61, 4 Nb 2.77
Ti1 0.2224 0.2224 0.0000  4 Pd 2.70, 4 Nb 2.82
Nb1 0.6082 0.6082 0.0000  4 Ta 2.77, 4 Ti 2.82
Pd1 0.8227 0.8227 0.0000  1 Ta 2.61, 4 Ti 2.70

space group: I4mm, No. 107
calculated total energy: -8.665 eV/atom
excess energy over the best structure of this formula in the dataset: 285 meV/atom

=====

Density functional theory data (PBE) for crystalline TaTiNbPd at its relaxed geometry.

Cell: 4.5649 4.5649 4.5649 Å, 60.00 60.00 60.00°
Closest atoms and distances in Å follow each position.
Fractional positions:
Ta1 0.0000 0.0000 0.0000  4 Nb 2.80, 4 Pd 2.80
Ti1 0.5000 0.5000 0.5000  4 Nb 2.80, 4 Pd 2.80
Nb1 0.2500 0.2500 0.2500  4 Ta 2.80, 4 Ti 2.80
Pd1 0.7500 0.7500 0.7500  4 Ti 2.80, 4 Ta 2.80

space group: F-43m, No. 216
calculated total energy: -8.950 eV/atom
excess energy over the best structure of this formula in the dataset: 0 meV/atom

=====

Density functional theory data (PBE) for crystalline TaNbPdW at its relaxed geometry.

Cell: 4.5802 4.5802 4.5802 Å, 60.00 60.00 60.00°
Closest atoms and distances in Å follow each position.
Fractional positions:
Ta1 0.0000 0.0000 0.0000  4 Pd 2.80, 4 W 2.80
Nb1 0.5000 0.5000 0.5000  4 W 2.80, 4 Pd 2.80
Pd1 0.7500 0.7500 0.7500  4 Nb 2.80, 4 Ta 2.80
W1 0.2500 0.2500 0.2500  4 Nb 2.80, 4 Ta 2.80

space group: F-43m, No. 216
calculated total energy: -10.074 eV/atom

=====

Density functional theory data (PBE) for crystalline Ta2NbZnPd at its relaxed geometry.

Cell: 4.8127 4.8127 4.8863 Å, 90.00 90.00 90.00°
Closest atoms and distances in Å follow each position.
Fractional positions:
Ta1 0.0000 0.5000 0.0000  2 Nb 2.41
Ta2 0.5000 0.0000 0.0000  2 Nb 2.41
Nb1 0.0000 0.0000 0.0000  4 Ta 2.41, 2 Zn 2.44
Zn1 0.0000 0.0000 0.5000  2 Nb 2.44
Pd1 0.5000 0.5000 0.5000  4 Zn 3.40, 8 Ta 3.43

space group: P4/mmm, No. 123
calculated total energy: -6.593 eV/atom

=====

Density functional theory data (PBE) for crystalline TaNb2ZnPd at its relaxed geometry.

Cell: 4.8597 4.8597 4.9027 Å, 90.00 90.00 90.00°
Closest atoms and distances in Å follow each position.
Fractional positions:
Ta1 0.0000 0.0000 0.0000  4 Nb 2.43, 2 Pd 2.45
Nb1 0.0000 0.5000 0.0000  2 Ta 2.43
Nb2 0.5000 0.0000 0.0000  2 Ta 2.43
Zn1 0.5000 0.5000 0.5000  4 Pd 3.44, 8 Nb 3.45
Pd1 0.0000 0.0000 0.5000  2 Ta 2.45

space group: P4/mmm, No. 123
calculated total energy: -6.433 eV/atom

=====

Density functional theory data (PBE) for crystalline TbNbPd14 at its relaxed geometry.

Cell: 5.7149 5.7149 7.8581 Å, 90.00 90.00 90.00°
Closest atoms and distances in Å follow each position.
Fractional positions:
Tb1 0.0000 0.0000 0.0000  12 Pd 2.86
Nb1 0.5000 0.5000 0.0000  12 Pd 2.78-2.86
Pd1 0.0000 0.0000 0.5000  12 Pd 2.85-2.86
Pd2 0.0000 0.5000 0.0000  8 Pd 2.82, 2 Nb 2.86, 2 Tb 2.86
Pd3 0.0000 0.5000 0.5000  12 Pd 2.82-2.86
Pd4 0.2562 0.2562 0.2504  10 Pd 2.78-2.93, 1 Nb 2.78, 1 Tb 2.86
Pd5 0.2562 0.2562 0.7496  10 Pd 2.78-2.93, 1 Nb 2.78, 1 Tb 2.86
Pd6 0.2562 0.7438 0.2504  10 Pd 2.78-2.93, 1 Nb 2.78, 1 Tb 2.86
Pd7 0.2562 0.7438 0.7496  10 Pd 2.78-2.93, 1 Nb 2.78, 1 Tb 2.86
Pd8 0.5000 0.0000 0.0000  8 Pd 2.82, 2 Nb 2.86, 2 Tb 2.86
Pd9 0.5000 0.0000 0.5000  12 Pd 2.82-2.86
Pd10 0.5000 0.5000 0.5000  12 Pd 2.78-2.86
Pd11 0.7438 0.2562 0.2504  10 Pd 2.78-2.93, 1 Nb 2.78, 1 Tb 2.86
Pd12 0.7438 0.2562 0.7496  10 Pd 2.78-2.93, 1 Nb 2.78, 1 Tb 2.86
Pd13 0.7438 0.7438 0.2504  10 Pd 2.78-2.93, 1 Nb 2.78, 1 Tb 2.86
Pd14 0.7438 0.7438 0.7496  10 Pd 2.78-2.93, 1 Nb 2.78, 1 Tb 2.86

space group: P4/mmm, No. 123
calculated total energy: -5.788 eV/atom

=====

Density functional theory data (PBE) for crystalline TbNbPd6 at its relaxed geometry.

Cell: 4.0457 4.0457 8.1286 Å, 90.00 90.00 90.00°
Closest atoms and distances in Å follow each position.
Fractional positions:
Tb1 0.0000 0.0000 0.0000  12 Pd 2.86-2.95
Nb1 0.0000 0.0000 0.5000  12 Pd 2.78-2.86
Pd1 0.0000 0.5000 0.2646  2 Nb 2.78, 8 Pd 2.78-2.95, 2 Tb 2.95
Pd2 0.0000 0.5000 0.7353  8 Pd 2.78-2.95, 2 Nb 2.78, 2 Tb 2.95
Pd3 0.5000 0.0000 0.2646  2 Nb 2.78, 8 Pd 2.78-2.95, 2 Tb 2.95
Pd4 0.5000 0.0000 0.7353  8 Pd 2.78-2.95, 2 Nb 2.78, 2 Tb 2.95
Pd5 0.5000 0.5000 0.0000  4 Tb 2.86, 8 Pd 2.95
Pd6 0.5000 0.5000 0.5000  8 Pd 2.78, 4 Nb 2.86

space group: P4/mmm, No. 123
calculated total energy: -6.372 eV/atom

=====

Density functional theory data (PBE) for crystalline TbNb2Pd9 at its relaxed geometry.

Cell: 4.0246 4.0246 12.1189 Å, 90.00 90.00 90.00°
Closest atoms and distances in Å follow each position.
Fractional positions:
Tb1 0.0000 0.0000 0.0000  12 Pd 2.85-2.95
Nb1 0.0000 0.0000 0.3344  12 Pd 2.76-2.85
Nb2 0.0000 0.0000 0.6656  12 Pd 2.76-2.85
Pd1 0.0000 0.5000 0.1785  2 Nb 2.76, 8 Pd 2.80-2.95, 2 Tb 2.95
Pd2 0.0000 0.5000 0.5000  8 Pd 2.80-2.85, 4 Nb 2.84
Pd3 0.0000 0.5000 0.8215  2 Nb 2.76, 8 Pd 2.80-2.95, 2 Tb 2.95
Pd4 0.5000 0.0000 0.1785  2 Nb 2.76, 8 Pd 2.80-2.95, 2 Tb 2.95
Pd5 0.5000 0.0000 0.5000  8 Pd 2.80-2.85, 4 Nb 2.84
Pd6 0.5000 0.0000 0.8215  2 Nb 2.76, 8 Pd 2.80-2.95, 2 Tb 2.95
Pd7 0.5000 0.5000 0.0000  4 Tb 2.85, 8 Pd 2.95
Pd8 0.5000 0.5000 0.3395  8 Pd 2.80, 4 Nb 2.85
Pd9 0.5000 0.5000 0.6605  8 Pd 2.80, 4 Nb 2.85

space group: P4/mmm, No. 123
calculated total energy: -6.477 eV/atom

=====

Density functional theory data (PBE) for crystalline Tb3NbPd12 at its relaxed geometry.

Cell: 4.0911 4.0911 16.3614 Å, 90.00 90.00 90.00°
Closest atoms and distances in Å follow each position.
Fractional positions:
Tb1 0.0000 0.0000 0.0000  12 Pd 2.89-2.93
Tb2 0.0000 0.0000 0.2508  12 Pd 2.87-3.01
Tb3 0.0000 0.0000 0.7492  12 Pd 2.87-3.01
Nb1 0.0000 0.0000 0.5000  12 Pd 2.77-2.89
Pd1 0.0000 0.5000 0.1280  4 Tb 2.87-2.93, 8 Pd 2.89-2.94
Pd2 0.0000 0.5000 0.3858  8 Pd 2.77-2.93, 2 Nb 2.77, 2 Tb 3.01
Pd3 0.0000 0.5000 0.6142  2 Nb 2.77, 8 Pd 2.77-2.93, 2 Tb 3.01
Pd4 0.0000 0.5000 0.8720  4 Tb 2.87-2.93, 8 Pd 2.89-2.94
Pd5 0.5000 0.0000 0.1280  4 Tb 2.87-2.93, 8 Pd 2.89-2.94
Pd6 0.5000 0.0000 0.3858  8 Pd 2.77-2.93, 2 Nb 2.77, 2 Tb 3.01
Pd7 0.5000 0.0000 0.6142  2 Nb 2.77, 8 Pd 2.77-2.93, 2 Tb 3.01
Pd8 0.5000 0.0000 0.8720  4 Tb 2.87-2.93, 8 Pd 2.89-2.94
Pd9 0.5000 0.5000 0.0000  4 Tb 2.89, 8 Pd 2.93
Pd10 0.5000 0.5000 0.2574  4 Tb 2.89, 8 Pd 2.93-2.94
Pd11 0.5000 0.5000 0.5000  8 Pd 2.77, 4 Nb 2.89
Pd12 0.5000 0.5000 0.7426  4 Tb 2.89, 8 Pd 2.93-2.94

space group: P4/mmm, No. 123
calculated total energy: -6.162 eV/atom

=====

Density functional theory data (PBE) for crystalline NbTcPd2 at its relaxed geometry.

Cell: 4.4997 4.4997 4.4997 Å, 60.00 60.00 60.00°
Closest atoms and distances in Å follow each position.
Fractional positions:
Nb1 0.0000 0.0000 0.0000  8 Pd 2.76
Tc1 0.5000 0.5000 0.5000  8 Pd 2.76
Pd1 0.2500 0.2500 0.2500  4 Tc 2.76, 4 Nb 2.76
Pd2 0.7500 0.7500 0.7500  4 Tc 2.76, 4 Nb 2.76

space group: Fm-3m, No. 225
calculated total energy: -7.497 eV/atom
excess energy over the best structure of this formula in the dataset: 457 meV/atom

=====

Density functional theory data (PBE) for crystalline NbTcPd2 at its relaxed geometry.

Cell: 9.8555 9.8555 9.8555 Å, 157.98 157.98 31.34°
Closest atoms and distances in Å follow each position.
Fractional positions:
Nb1 0.0000 0.0000 0.0000  4 Tc 2.66, 4 Pd 2.73
Nb2 0.7500 0.2500 0.5000  4 Tc 2.66, 4 Pd 2.73
Tc1 0.2500 0.7500 0.5000  4 Nb 2.66, 4 Pd 2.71
Tc2 0.5000 0.5000 0.0000  4 Nb 2.66, 4 Pd 2.71
Pd1 0.1292 0.6250 0.0042  4 Pd 2.64-2.68, 2 Tc 2.71, 2 Nb 2.73
Pd2 0.3750 0.3792 0.5042  4 Pd 2.64-2.68, 2 Tc 2.71, 2 Nb 2.73
Pd3 0.6208 0.1250 0.9958  4 Pd 2.64-2.68, 2 Tc 2.71, 2 Nb 2.73
Pd4 0.8750 0.8708 0.4958  4 Pd 2.64-2.68, 2 Tc 2.71, 2 Nb 2.73

space group: I-42d, No. 122
calculated total energy: -7.477 eV/atom
excess energy over the best structure of this formula in the dataset: 478 meV/atom

=====

Density functional theory data (PBE) for crystalline NbTcPd2 at its relaxed geometry.

Cell: 3.8888 3.8888 4.1126 Å, 90.00 90.00 90.00°
Closest atoms and distances in Å follow each position.
Fractional positions:
Nb1 0.0000 0.0000 0.0000  4 Tc 2.75, 8 Pd 2.83
Tc1 0.5000 0.5000 0.0000  4 Nb 2.75, 8 Pd 2.83
Pd1 0.0000 0.5000 0.5000  4 Pd 2.75, 4 Nb 2.83, 4 Tc 2.83
Pd2 0.5000 0.0000 0.5000  4 Pd 2.75, 4 Nb 2.83, 4 Tc 2.83

space group: P4/mmm, No. 123
calculated total energy: -7.904 eV/atom
excess energy over the best structure of this formula in the dataset: 51 meV/atom

=====

Number 1: energy relative to the elements 0.088 eV per atom, size of the total moment 0.00 μB per formula unit. Number 2: energy relative to the elements -0.197 eV per atom, size of the total moment 0.00 μB per formula unit. Number 3: energy relative to the elements -0.057 eV per atom, size of the total moment 0.00 μB per formula unit. Number 4: energy relative to the elements 1.456 eV per atom, size of the total moment 0.00 μB per formula unit. Number 5: energy relative to the elements 1.259 eV per atom, size of the total moment 0.00 μB per formula unit. Number 6: energy relative to the elements -0.326 eV per atom, size of the total moment 0.00 μB per formula unit. Number 7: energy relative to the elements -0.640 eV per atom, size of the total moment 0.00 μB per formula unit. Number 8: energy relative to the elements -0.518 eV per atom, size of the total moment 1.24 μB per formula unit. Number 9: energy relative to the elements -0.770 eV per atom, size of the total moment 0.00 μB per formula unit. Number 10: energy relative to the elements 0.208 eV per atom, size of the total moment 1.25 μB per formula unit. Number 11: energy relative to the elements 0.229 eV per atom, size of the total moment 0.00 μB per formula unit. Number 12: energy relative to the elements -0.198 eV per atom, size of the total moment 0.28 μB per formula unit.